No. 1
A plane-wave DFT calculation with PBE-GGA was carried out for a relaxed structure of NaTl3In3Pb2.

Unit cell a=9.320 b=9.320 c=3.515 alpha=90.00 beta=90.00 gamma=120.00
Fractional positions:
Na  0.000  0.000  0.000
Tl  0.000  0.708  0.500
Tl  0.292  0.292  0.500
Tl  0.708  0.000  0.500
In  0.000  0.374  0.000
In  0.374  0.000  0.000
In  0.626  0.626  0.000
Pb  0.333  0.667  0.500
Pb  0.667  0.333  0.500

Summary:
total energy	-2.67	eV per atom
M_tot	0.0	μB/cell

---

No. 2
A plane-wave DFT calculation with PBE-GGA was carried out for a relaxed structure of Ho4OsPt.

Unit cell a=6.871 b=6.858 c=6.852 alpha=90.00 beta=91.13 gamma=90.00
Fractional positions:
Ho  0.162  0.167  0.173
Ho  0.162  0.333  0.673
Ho  0.326  0.667  0.161
Ho  0.326  0.833  0.661
Ho  0.674  0.167  0.339
Ho  0.674  0.333  0.839
Ho  0.838  0.667  0.327
Ho  0.838  0.833  0.827
Os  0.000  0.000  0.500
Os  0.000  0.500  0.000
Pt  0.500  0.000  0.000
Pt  0.500  0.500  0.500

Summary:
offset from the most stable computed form	93.3	meV/atom
M_tot	0.0	μB/cell

---

No. 3
A plane-wave DFT calculation with PBE-GGA was carried out for a relaxed structure of ZnMoBr.

Unit cell a=5.848 b=5.848 c=8.619 alpha=122.13 beta=122.13 gamma=33.86
Fractional positions:
Zn  0.078  0.078  0.169
Zn  0.922  0.922  0.831
Mo  0.330  0.330  0.507
Mo  0.670  0.670  0.493
Br  0.385  0.385  0.245
Br  0.615  0.615  0.755

Summary:
offset from the most stable computed form	1.5	meV/atom
E_form (uncorrected)	0.062	eV per atom
M_tot	0.0	μB/cell